Na2Li2MnO4 | GGA+U | relaxed

Energy ... -48.36 eV per cell

a = 3.0851 Å, b = 6.1993 Å, c = 7.5818 Å
α = 133.10°, β = 90.00°, γ = 104.41°
Closest atoms and distances in Å follow each position.
Sites, in units of the cell vectors:
Na  0.8242  0.6484  0.4369  5 O 2.29-2.41
Na  0.1758  0.3516  0.5631  5 O 2.29-2.41
Li  0.3452  0.6903  0.0671  4 O 1.90-1.98
Li  0.6548  0.3097  0.9329  4 O 1.90-1.98
Mn  0.0000  0.0000  0.0000  6 O 1.95-2.02
O  0.7916  0.5831  0.8745  3 Li 1.90-1.98, 1 Mn 1.95
O  0.2084  0.4169  0.1255  3 Li 1.90-1.98, 1 Mn 1.95
O  0.5591  0.1182  0.2258  1 Li 1.92, 2 Mn 2.02
O  0.4409  0.8818  0.7742  1 Li 1.92, 2 Mn 2.02